# NdEu2Lu, optimized geometry, DFT PBE-GGA
# * mass density: 7.16 g cm⁻³
# * excess energy over the best structure of this formula in the dataset: 0.091 eV/atom
# * energy of formation from the pure elements: 0.8 eV per formula unit
# * crystal system: trigonal
data_NdEu2Lu
_symmetry_space_group_name_H-M 'R -3 m'
_symmetry_Int_Tables_number 166
_symmetry_space_group_name_Hall '-R 3 2"'
_cell_length_a 3.5943
_cell_length_b 3.5943
_cell_length_c 38.7259
_cell_angle_alpha 90.00
_cell_angle_beta 90.00
_cell_angle_gamma 120.00
loop_
_atom_site_label
_atom_site_fract_x
_atom_site_fract_y
_atom_site_fract_z
Nd1 0.0000 0.0000 0.0000
Eu1 0.0000 0.0000 0.0896
Lu1 0.0000 0.0000 0.5000


# CrCd2HRh, optimized geometry, DFT PBE-GGA
# * mass density: 8.73 g cm⁻³
# * E: -4.255 eV per atom
# * crystal system: tetragonal
data_CrCd2HRh
_symmetry_space_group_name_H-M 'P 4/m m m'
_symmetry_Int_Tables_number 123
_symmetry_space_group_name_Hall '-P 4 2'
_cell_length_a 4.5514
_cell_length_b 4.5514
_cell_length_c 3.4961
_cell_angle_alpha 90.00
_cell_angle_beta 90.00
_cell_angle_gamma 90.00
loop_
_atom_site_label
_atom_site_fract_x
_atom_site_fract_y
_atom_site_fract_z
Cr1 0.0000 0.0000 0.0000
Cd1 0.0000 0.5000 0.5000
H1 0.0000 0.0000 0.5000
Rh1 0.5000 0.5000 0.0000